1.
AgC2I | PBE-GGA | relaxed

Output
Magnetization ... 0.00 Bohr magnetons per cell
Energy above the lowest structure with this stoichiometry ... 532 meV/atom

a = 6.172 Å, b = 6.172 Å, c = 6.172 Å
α = 90.00°, β = 90.00°, γ = 90.00°
Space group Fm-3m (No. 225)
Unique sites:
Ag: 0.000 0.000 0.000 [4 per cell]
C: 0.250 0.250 0.250 [8 per cell]
I: 0.000 0.000 0.500 [4 per cell]

---

2.
TlSiH2 | PBE-GGA | relaxed

Output
Magnetization ... 0.00 Bohr magnetons per cell
Energy above the lowest structure with this stoichiometry ... 481 meV/atom

a = 5.934 Å, b = 5.934 Å, c = 5.934 Å
α = 90.00°, β = 90.00°, γ = 90.00°
Space group Fm-3m (No. 225)
Unique sites:
Tl: 0.000 0.000 0.000 [4 per cell]
Si: 0.000 0.000 0.500 [4 per cell]
H: 0.250 0.250 0.250 [8 per cell]

---

3.
Er3Cd2In | PBE-GGA | relaxed

Output
Magnetization ... 0.00 Bohr magnetons per cell
Energy above the lowest structure with this stoichiometry ... 4 meV/atom
Formation energy from the elements ... -0.36 eV/atom

a = 3.731 Å, b = 3.731 Å, c = 11.082 Å
α = 90.00°, β = 90.00°, γ = 90.00°
Space group P4/mmm (No. 123)
Unique sites:
Er: 0.000 0.000 0.000 [1 per cell]
Er: 0.000 0.000 0.330 [2 per cell]
Cd: 0.500 0.500 0.164 [2 per cell]
In: 0.500 0.500 0.500 [1 per cell]

---

4.
La2VRh | PBE-GGA | relaxed

Output
Magnetization ... 15.27 Bohr magnetons per cell
Energy above the lowest structure with this stoichiometry ... 0 meV/atom
Formation energy from the elements ... 0.00 eV/atom

a = 7.327 Å, b = 7.327 Å, c = 7.327 Å
α = 90.00°, β = 90.00°, γ = 90.00°
Space group Fm-3m (No. 225)
Unique sites:
La: 0.250 0.250 0.250 [8 per cell]
V: 0.000 0.000 0.000 [4 per cell]
Rh: 0.000 0.000 0.500 [4 per cell]

---

Question: Among the records above, which one has the lowest energy above the lowest structure with this stoichiometry?
Answer: La2VRh